## Pr2Dy8Th3 (PBE)

Data for an optimized crystal structure of Pr2Dy8Th3.

abc: 7.890 20.465 5.533
angles: 90.00 90.00 90.00
Space group Cmmm (No. 65)
One atom of each set of equivalent atoms:
Pr (0.000, 0.239, 0.000) (multiplicity 4)
Dy (0.000, 0.123, 0.500) (multiplicity 4)
Dy (0.000, 0.337, 0.500) (multiplicity 4)
Dy (0.205, 0.395, 0.000) (multiplicity 8)
Th (0.000, 0.000, 0.000) (multiplicity 2)
Th (0.203, 0.500, 0.500) (multiplicity 4)

Its formation energy from the elements is 0.27 eV per atom. The value obtained for the total energy is -130.4 eV per cell.



## PrDyTh4 (PBE)

Data for an optimized crystal structure of PrDyTh4.

abc: 9.414 9.414 9.414
angles: 90.00 90.00 90.00
Space group F-43m (No. 216)
One atom of each set of equivalent atoms:
Pr (0.000, 0.000, 0.000) (multiplicity 4)
Dy (0.250, 0.250, 0.250) (multiplicity 4)
Th (0.125, 0.125, 0.625) (multiplicity 16)

Its formation energy from the elements is 0.27 eV per atom. The offset from the most stable computed form comes out at 221 meV/atom. The value obtained for the total energy is -149.8 eV per cell.



## PrDy2Th (PBE)

Data for an optimized crystal structure of PrDy2Th.

abc: 3.6037 3.6037 34.8307
angles: 90.00 90.00 120.00
Space group R-3m (No. 166, hexagonal axes)
One atom of each set of equivalent atoms:
Pr (0.0000, 0.0000, 0.0000) (multiplicity 3)
Dy (0.0000, 0.0000, 0.2473) (multiplicity 6)
Th (0.0000, 0.0000, 0.5000) (multiplicity 3)

Its formation energy from the elements is 0.01 eV per atom. The offset from the most stable computed form comes out at 0 meV/atom. The value obtained for the total energy is -64.0 eV per cell.